(1)
First-principles (SCAN) data for a crystal of Cd5In4 relaxed with PBEsol, as listed in the Alexandria database.

## Properties
**ΔE_f**: 0.06 eV/atom

Cell lengths 9.4379, 9.4379, 4.5924 Å; angles 90.00, 90.00, 90.00 degrees
Space group I4/mmm (No. 139)
One atom of each set of equivalent atoms:
1 Cd 0.0000 0.0000 0.0000
2 Cd 0.1635 0.1635 0.5000
3 In 0.0000 0.3267 0.0000

(2)
First-principles (SCAN) data for a crystal of SrSb2Pd relaxed with PBEsol, as listed in the Alexandria database.

## Properties
**Energy relative to the elements, uncorrected**: -0.32 eV per atom

Cell lengths 7.2723, 7.2723, 7.2723 Å; angles 90.00, 90.00, 90.00 degrees
Space group Fm-3m (No. 225)
One atom of each set of equivalent atoms:
1 Sr 0.0000 0.0000 0.0000
2 Sb 0.2500 0.2500 0.2500
3 Pd 0.0000 0.0000 0.5000